[1]
{"formula": "In5Hg5Au", "functional": "GGA-PBE", "state": "optimized geometry", "volume_a3_per_fu": 307.6, "delta_e_f_ev_per_atom": 0.001, "sg": "C2/m", "cell": [[-1.0340, -5.7496, -1.3561], [5.7974, 0.7133, 5.8133], [-5.8614, 0.2021, 3.6128]], "species": ["In", "In", "In", "In", "In", "Hg", "Hg", "Hg", "Hg", "Hg", "Au"], "frac_coords": [[0.8425, 0.6849, 0.6797], [0.1621, 0.3243, 0.8477], [0.8379, 0.6757, 0.1523], [0.1575, 0.3151, 0.3203], [0.5000, 0.0000, 0.0000], [0.3314, 0.6627, 0.6558], [0.6686, 0.3373, 0.3442], [0.0000, 0.0000, 0.5000], [0.6554, 0.3108, 0.7968], [0.3446, 0.6892, 0.2032], [0.0000, 0.0000, 0.0000]]}

[2]
{"formula": "InHgAu2", "functional": "GGA-PBE", "state": "optimized geometry", "volume_a3_per_fu": 84.9, "delta_e_f_ev_per_atom": -0.034, "sg": "P4mm", "cell": [[-2.4420, 2.9226, 0.6533], [-2.3908, -2.4102, 1.8457], [2.6550, 1.1221, 4.9044]], "species": ["Au", "Au", "Hg", "In"], "frac_coords": [[0.0000, 0.0000, 0.9812], [0.5000, 0.5000, 0.2680], [0.0000, 0.0000, 0.4745], [0.5000, 0.5000, 0.7763]]}

[3]
{"formula": "InHg3Au3", "functional": "GGA-PBE", "state": "optimized geometry", "volume_a3_per_fu": 236.9, "delta_e_f_ev_per_atom": 0.342, "sg": "Pm-3n", "cell": [[-6.1055, -3.6464, 3.1938], [3.4949, -6.8707, -1.1634], [3.3590, 0.5206, 7.0157]], "species": ["Au", "Au", "Au", "Au", "Au", "Au", "In", "In", "Hg", "Hg", "Hg", "Hg", "Hg", "Hg"], "frac_coords": [[0.2500, 0.0000, 0.5000], [0.5000, 0.7500, 0.0000], [0.5000, 0.2500, 0.0000], [0.0000, 0.5000, 0.2500], [0.0000, 0.5000, 0.7500], [0.7500, 0.0000, 0.5000], [0.0000, 0.0000, 0.0000], [0.5000, 0.5000, 0.5000], [0.0000, 0.2500, 0.5000], [0.5000, 0.0000, 0.2500], [0.0000, 0.7500, 0.5000], [0.5000, 0.0000, 0.7500], [0.2500, 0.5000, 0.0000], [0.7500, 0.5000, 0.0000]]}

[4]
{"formula": "InHgAu", "functional": "GGA-PBE", "state": "optimized geometry", "volume_a3_per_fu": 69.2, "delta_e_f_ev_per_atom": -0.043, "sg": "P-1", "cell": [[3.6518, 0.0148, 0.0186], [-0.0162, 6.0176, -0.9253], [-1.7911, -2.2323, 6.6274]], "species": ["In", "In", "Au", "Au", "Hg", "Hg"], "frac_coords": [[0.5833, 0.2066, 0.9407], [0.2946, 0.8974, 0.3481], [0.9385, 0.2986, 0.6423], [0.9394, 0.8053, 0.6465], [0.5957, 0.7124, 0.9523], [0.2820, 0.3916, 0.3366]]}

[5]
{"formula": "InHgAu3", "functional": "GGA-PBE", "state": "optimized geometry", "volume_a3_per_fu": 108.1, "delta_e_f_ev_per_atom": 0.005, "sg": "Cmcm", "cell": [[4.2531, 0.0000, 0.0000], [0.0000, 3.5283, 0.0000], [0.0000, -1.7642, 14.4018]], "species": ["Hg", "Hg", "Au", "Au", "Au", "Au", "Au", "Au", "In", "In"], "frac_coords": [[0.2500, 0.0726, 0.1452], [0.7500, 0.9274, 0.8548], [0.2500, 0.4696, 0.9391], [0.7500, 0.6254, 0.2507], [0.2500, 0.6913, 0.3826], [0.7500, 0.5304, 0.0609], [0.2500, 0.3746, 0.7493], [0.7500, 0.3087, 0.6174], [0.2500, 0.7909, 0.5819], [0.7500, 0.2091, 0.4181]]}

[6]
{"formula": "In2HgAu", "functional": "GGA-PBE", "state": "optimized geometry", "volume_a3_per_fu": 101.0, "delta_e_f_ev_per_atom": -0.047, "sg": "Imm2", "cell": [[-0.6036, 6.7293, -2.1410], [-2.3603, 2.9435, -5.9998], [-0.8058, -4.2173, 5.6389]], "species": ["In", "In", "Hg", "Au"], "frac_coords": [[0.9776, 0.9776, 0.0000], [0.7023, 0.2023, 0.5000], [0.3004, 0.8004, 0.5000], [0.5197, 0.5197, 0.0000]]}

[7]
{"formula": "In2HgAu6", "functional": "GGA-PBE", "state": "optimized geometry", "volume_a3_per_fu": 188.5, "delta_e_f_ev_per_atom": -0.068, "sg": "P-1", "cell": [[-1.9560, 4.4837, 0.2053], [3.2649, -1.1840, -10.4369], [-8.8571, -0.8001, 4.1509]], "species": ["Au", "Au", "Au", "Au", "Au", "Au", "Au", "Au", "Au", "Au", "Au", "Au", "In", "In", "In", "In", "Hg", "Hg"], "frac_coords": [[0.5094, 0.3467, 0.4653], [0.7356, 0.0755, 0.5993], [0.9905, 0.1533, 0.0347], [0.5118, 0.9929, 0.8398], [0.2356, 0.5756, 0.0993], [0.2644, 0.9245, 0.4007], [0.4882, 0.0071, 0.1602], [0.0118, 0.4929, 0.3398], [0.4906, 0.6533, 0.5347], [0.9882, 0.5071, 0.6602], [0.7644, 0.4244, 0.9007], [0.0095, 0.8467, 0.9653], [0.4601, 0.6586, 0.8648], [0.0399, 0.8414, 0.6352], [0.9601, 0.1586, 0.3648], [0.5399, 0.3414, 0.1352], [0.7501, 0.7500, 0.2499], [0.2499, 0.2500, 0.7501]]}

[8]
{"formula": "InHg2Au", "functional": "GGA-PBE", "state": "optimized geometry", "volume_a3_per_fu": 92.0, "delta_e_f_ev_per_atom": 0.063, "sg": "R-3m", "cell": [[10.1715, -0.0571, -0.0335], [9.6672, 3.1634, -0.0335], [9.6672, 1.5137, 2.7779]], "species": ["Hg", "Hg", "Au", "In"], "frac_coords": [[0.4940, 0.4940, 0.4940], [0.0060, 0.0060, 0.0060], [0.7500, 0.7500, 0.7500], [0.2500, 0.2500, 0.2500]]}

[9]
{"formula": "InHg2Au", "functional": "GGA-PBE", "state": "optimized geometry", "volume_a3_per_fu": 95.6, "delta_e_f_ev_per_atom": 0.038, "sg": "F-43m", "cell": [[-3.3722, -3.1247, 2.2816], [0.9989, -1.8843, 4.6683], [-2.6809, 1.6408, 4.0573]], "species": ["Hg", "Hg", "In", "Au"], "frac_coords": [[0.7500, 0.7500, 0.7500], [0.0000, 0.0000, 0.0000], [0.2500, 0.2500, 0.2500], [0.5000, 0.5000, 0.5000]]}

[10]
{"formula": "InHg2Au", "functional": "GGA-PBE", "state": "optimized geometry", "volume_a3_per_fu": 94.5, "delta_e_f_ev_per_atom": 0.032, "sg": "P4/mmm", "cell": [[4.2821, 0.0000, 0.0000], [0.0000, 4.2810, 0.0000], [0.0000, 0.0000, 5.1526]], "species": ["Hg", "Hg", "In", "Au"], "frac_coords": [[0.5000, 0.5000, 0.0000], [0.0000, 0.0000, 0.0000], [0.5000, 0.0000, 0.5000], [0.0000, 0.5000, 0.5000]]}

[11]
{"formula": "InHgAu2", "functional": "GGA-PBE", "state": "optimized geometry", "volume_a3_per_fu": 83.6, "delta_e_f_ev_per_atom": -0.023, "sg": "P2/m", "cell": [[3.7296, 0.0000, 0.0000], [0.0000, 3.7743, 0.0367], [0.0000, 3.7259, 5.9730]], "species": ["Hg", "In", "Au", "Au"], "frac_coords": [[0.5000, 0.2500, 0.2500], [0.5000, 0.7500, 0.7500], [0.0000, 0.0035, 0.9964], [0.0000, 0.4965, 0.5036]]}

[12]
{"formula": "In2HgAu", "functional": "GGA-PBE", "state": "optimized geometry", "volume_a3_per_fu": 95.5, "delta_e_f_ev_per_atom": -0.002, "sg": "I-4m2", "cell": [[5.9320, 0.1174, 0.0000], [2.6615, 5.3027, 0.0000], [-4.2967, -2.7101, 3.0653]], "species": ["In", "In", "Hg", "Au"], "frac_coords": [[0.0000, 0.0000, 0.0000], [0.2500, 0.7500, 0.5000], [0.7500, 0.2500, 0.5000], [0.5000, 0.5000, 0.0000]]}

Please write out number 2 again, unchanged.
{"formula": "InHgAu2", "functional": "GGA-PBE", "state": "optimized geometry", "volume_a3_per_fu": 84.9, "delta_e_f_ev_per_atom": -0.034, "sg": "P4mm", "cell": [[-2.4420, 2.9226, 0.6533], [-2.3908, -2.4102, 1.8457], [2.6550, 1.1221, 4.9044]], "species": ["Au", "Au", "Hg", "In"], "frac_coords": [[0.0000, 0.0000, 0.9812], [0.5000, 0.5000, 0.2680], [0.0000, 0.0000, 0.4745], [0.5000, 0.5000, 0.7763]]}